Record 1
# V6AgO15 | Alexandria via LeMat-Bulk | PBE+U | relaxed
# * uncorrected energy: -7.239 eV/atom
data_V6AgO15
_cell_length_a 15.7889
_cell_length_b 3.6653
_cell_length_c 10.2882
_cell_angle_alpha 90.00
_cell_angle_beta 111.28
_cell_angle_gamma 90.00
_symmetry_space_group_name_H-M 'C 1 m 1'
_symmetry_Int_Tables_number 8
loop_
_symmetry_equiv_pos_as_xyz
'x,y,z'
'x,-y,z'
'x+1/2,y+1/2,z'
'x+1/2,-y+1/2,z'
loop_
_atom_site_label
_atom_site_type_symbol
_atom_site_fract_x
_atom_site_fract_y
_atom_site_fract_z
V1 V 0.0000 0.0000 0.0000
V2 V 0.0405 0.5000 0.7780
V3 V 0.0963 0.5000 0.4768
V4 V 0.1686 0.0000 0.2953
V5 V 0.2175 0.0000 0.9874
V6 V 0.2633 0.5000 0.7730
Ag1 Ag 0.3827 0.5000 0.2801
O1 O 0.0134 0.5000 0.9540
O2 O 0.0639 0.0000 0.8298
O3 O 0.1126 0.5000 0.6629
O4 O 0.1225 0.0000 0.4577
O5 O 0.1394 0.5000 0.3150
O6 O 0.1427 0.0000 0.1086
O7 O 0.1950 0.5000 0.9398
O8 O 0.2454 0.0000 0.8131
O9 O 0.2601 0.5000 0.6120
O10 O 0.2790 0.0000 0.3570
O11 O 0.3182 0.0000 0.1167
O12 O 0.3800 0.5000 0.8789
O13 O 0.4408 0.0000 0.6601
O14 O 0.4846 0.0000 0.4028
O15 O 0.4906 0.5000 0.1542

---

Record 2
# VAgO4 | Alexandria via LeMat-Bulk | PBE+U | relaxed
# * uncorrected energy: -5.932 eV/atom
data_VAgO4
_cell_length_a 6.0471
_cell_length_b 12.3251
_cell_length_c 5.1605
_cell_angle_alpha 90.00
_cell_angle_beta 121.46
_cell_angle_gamma 90.00
_symmetry_space_group_name_H-M 'C 1 2/c 1'
_symmetry_Int_Tables_number 15
loop_
_symmetry_equiv_pos_as_xyz
'x,y,z'
'-x,-y,-z'
'-x,y,-z+1/2'
'x,-y,z+1/2'
'x+1/2,y+1/2,z'
'-x+1/2,-y+1/2,-z'
'-x+1/2,y+1/2,-z+1/2'
'x+1/2,-y+1/2,z+1/2'
loop_
_atom_site_label
_atom_site_type_symbol
_atom_site_fract_x
_atom_site_fract_y
_atom_site_fract_z
V1 V 0.0000 0.0828 0.2500
Ag1 Ag 0.0000 0.4267 0.7500
O1 O 0.2051 0.1704 0.2111
O2 O 0.2195 0.0392 0.6720

---

Record 3
# V2AgO4 | Alexandria via LeMat-Bulk | PBE+U | relaxed
# * uncorrected energy: -6.639 eV/atom
data_V2AgO4
_cell_length_a 6.6845
_cell_length_b 6.6845
_cell_length_c 5.3170
_cell_angle_alpha 90.00
_cell_angle_beta 90.00
_cell_angle_gamma 90.00
_symmetry_space_group_name_H-M 'I 4/m'
_symmetry_Int_Tables_number 87
_symmetry_space_group_name_Hall '-I 4'
loop_
_atom_site_label
_atom_site_type_symbol
_atom_site_fract_x
_atom_site_fract_y
_atom_site_fract_z
V1 V 0.0000 0.5000 0.2500
Ag1 Ag 0.0000 0.0000 0.0000
O1 O 0.1110 0.3336 0.0000

---

Record 4
# V2Ag2O7 | Alexandria via LeMat-Bulk | PBE+U | relaxed
# * uncorrected energy: -6.195 eV/atom
data_V2Ag2O7
_cell_length_a 8.3951
_cell_length_b 9.0384
_cell_length_c 5.2161
_cell_angle_alpha 90.00
_cell_angle_beta 113.34
_cell_angle_gamma 90.00
_symmetry_space_group_name_H-M 'C 1 2/m 1'
_symmetry_Int_Tables_number 12
loop_
_symmetry_equiv_pos_as_xyz
'x,y,z'
'-x,-y,-z'
'-x,y,-z'
'x,-y,z'
'x+1/2,y+1/2,z'
'-x+1/2,-y+1/2,-z'
'-x+1/2,y+1/2,-z'
'x+1/2,-y+1/2,z'
loop_
_atom_site_label
_atom_site_type_symbol
_atom_site_fract_x
_atom_site_fract_y
_atom_site_fract_z
V1 V 0.1901 0.0000 0.4246
Ag1 Ag 0.0000 0.3094 0.0000
O1 O 0.0000 0.0000 0.5000
O2 O 0.1250 0.5000 0.2481
O3 O 0.1910 0.1549 0.2387

---

Record 5
# VAgO2 | Alexandria via LeMat-Bulk | PBE+U | relaxed
# * uncorrected energy: -6.186 eV/atom
data_VAgO2
_cell_length_a 2.9049
_cell_length_b 5.2700
_cell_length_c 8.9082
_cell_angle_alpha 106.84
_cell_angle_beta 90.13
_cell_angle_gamma 90.00
_symmetry_space_group_name_H-M 'P 1'
_symmetry_Int_Tables_number 1
loop_
_symmetry_equiv_pos_as_xyz
'x,y,z'
loop_
_atom_site_label
_atom_site_type_symbol
_atom_site_fract_x
_atom_site_fract_y
_atom_site_fract_z
V1 V 0.0000 0.0000 0.0000
V2 V 0.5004 0.4961 0.0926
Ag1 Ag 0.0025 0.2468 0.4307
Ag2 Ag 0.5046 0.1342 0.6687
O1 O 0.0011 0.3471 0.1987
O2 O 0.4990 0.9194 0.8581
O3 O 0.5007 0.8442 0.1275
O4 O 0.9993 0.3784 0.9423

---

Record 6
# V2AgO5 | Alexandria via LeMat-Bulk | PBE+U | relaxed
# * uncorrected energy: -6.861 eV/atom
data_V2AgO5
_cell_length_a 3.6475
_cell_length_b 11.5595
_cell_length_c 5.1130
_cell_angle_alpha 90.00
_cell_angle_beta 90.00
_cell_angle_gamma 90.00
_symmetry_space_group_name_H-M 'P m m n'
_symmetry_Int_Tables_number 59
loop_
_symmetry_equiv_pos_as_xyz
'x,y,z'
'-x,-y,-z'
'-x+1/2,-y+1/2,z'
'x+1/2,y+1/2,-z'
'x+1/2,-y,-z'
'-x+1/2,y,z'
'-x,y+1/2,-z'
'x,-y+1/2,z'
loop_
_atom_site_label
_atom_site_type_symbol
_atom_site_fract_x
_atom_site_fract_y
_atom_site_fract_z
V1 V 0.2500 0.1010 0.0904
Ag1 Ag 0.2500 0.7500 0.4140
O1 O 0.2500 0.1212 0.4124
O2 O 0.2500 0.2500 0.9584
O3 O 0.2500 0.5694 0.0159